ZnCr2HIr | PBE | optimized geometry

Cell and atoms, written as POSCAR:
```
ZnCr2HIr
1.0
3.762 0.000 0.000
0.000 3.762 0.000
0.000 0.000 3.909
Zn Cr H Ir
1 2 1 1
Cartesian
0.000 0.000 0.000
0.000 1.881 1.955
1.881 0.000 1.955
1.881 1.881 1.955
1.881 1.881 0.000
```

## Properties
Total DFT energy (no corrections), eV/atom: -6.426
E above lowest polymorph, eV per atom: 0.000
Density of states at the Fermi level, states/eV per cell: 6.26